1.
{
  "formula": "SmMgCdAg",
  "functional": "PBE",
  "state": "optimized geometry",
  "lattice": [[0.000, 3.586, 3.586], [3.586, 0.000, 3.586], [3.586, 3.586, 0.000]],
  "species": ["Sm", "Mg", "Cd", "Ag"],
  "frac_coords": [[0.000, 0.000, 0.000], [0.500, 0.500, 0.500], [0.250, 0.250, 0.250], [0.750, 0.750, 0.750]],
  "vol_a3_per_atom": 23.1,
  "dft_energy_ev_per_cell": -11.27,
  "sg": "F-43m (216)"
}


2.
{
  "formula": "ScFeB",
  "functional": "PBE",
  "state": "optimized geometry",
  "lattice": [[6.145, 0.000, 0.000], [0.000, 3.240, 0.000], [0.000, 0.000, 7.266]],
  "species": ["Sc", "Sc", "Sc", "Sc", "Fe", "Fe", "Fe", "Fe", "B", "B", "B", "B"],
  "frac_coords": [[0.028, 0.250, 0.178], [0.472, 0.750, 0.678], [0.528, 0.250, 0.322], [0.972, 0.750, 0.822], [0.139, 0.250, 0.555], [0.361, 0.750, 0.055], [0.639, 0.250, 0.945], [0.861, 0.750, 0.445], [0.210, 0.750, 0.390], [0.290, 0.250, 0.890], [0.710, 0.750, 0.110], [0.790, 0.250, 0.610]],
  "vol_a3_per_atom": 12.1,
  "dft_energy_ev_per_cell": -90.30,
  "sg": "Pnma (62)"
}


3.
{
  "formula": "TbSc2Si4Au4",
  "functional": "PBE",
  "state": "optimized geometry",
  "lattice": [[-2.064, 3.474, 6.956], [2.064, -3.474, 6.956], [2.064, 3.474, -6.956]],
  "species": ["Tb", "Sc", "Sc", "Si", "Si", "Si", "Si", "Au", "Au", "Au", "Au"],
  "frac_coords": [[0.000, 0.000, 0.000], [0.380, 0.880, 0.500], [0.620, 0.120, 0.500], [0.220, 0.220, 0.000], [0.328, 0.500, 0.828], [0.672, 0.500, 0.172], [0.780, 0.780, 0.000], [0.038, 0.334, 0.704], [0.370, 0.666, 0.704], [0.630, 0.334, 0.296], [0.962, 0.666, 0.296]],
  "vol_a3_per_atom": 18.1,
  "dft_energy_ev_per_cell": -59.32,
  "sg": "Immm (71)"
}


4.
{
  "formula": "PrTmCd6",
  "functional": "PBE",
  "state": "optimized geometry",
  "lattice": [[5.080, 0.000, 0.000], [0.000, 7.272, 0.000], [0.000, 0.000, 5.080]],
  "species": ["Pr", "Tm", "Cd", "Cd", "Cd", "Cd", "Cd", "Cd"],
  "frac_coords": [[0.000, 0.000, 0.000], [0.500, 0.500, 0.493], [0.000, 0.261, 0.501], [0.000, 0.500, 0.001], [0.000, 0.739, 0.501], [0.500, 0.000, 0.495], [0.500, 0.261, 0.993], [0.500, 0.739, 0.993]],
  "ef_mev_per_atom": -282,
  "vol_a3_per_atom": 23.5,
  "e_above_lowest_polymorph_mev_per_atom": 0,
  "sg": "Pmm2 (25)"
}


5.
{
  "formula": "CsZrAgTe2Se",
  "functional": "PBE",
  "state": "optimized geometry",
  "lattice": [[2.111, -8.490, 0.000], [2.111, 8.490, 0.000], [0.000, 0.000, 10.783]],
  "species": ["Cs", "Cs", "Zr", "Zr", "Ag", "Ag", "Te", "Te", "Te", "Te", "Se", "Se"],
  "frac_coords": [[0.244, 0.756, 0.750], [0.756, 0.244, 0.250], [0.500, 0.500, 0.000], [0.500, 0.500, 0.500], [0.035, 0.965, 0.250], [0.965, 0.035, 0.750], [0.120, 0.880, 0.035], [0.120, 0.880, 0.465], [0.880, 0.120, 0.535], [0.880, 0.120, 0.965], [0.442, 0.558, 0.250], [0.558, 0.442, 0.750]],
  "vol_a3_per_atom": 32.2,
  "dft_energy_ev_per_cell": -54.31,
  "sg": "Cmcm (63)"
}


6.
{
  "formula": "LuHfGaCu",
  "functional": "PBE",
  "state": "optimized geometry",
  "lattice": [[0.000, 3.381, 3.381], [3.381, 0.000, 3.381], [3.381, 3.381, 0.000]],
  "species": ["Lu", "Hf", "Ga", "Cu"],
  "frac_coords": [[0.000, 0.000, 0.000], [0.250, 0.250, 0.250], [0.500, 0.500, 0.500], [0.750, 0.750, 0.750]],
  "vol_a3_per_atom": 19.3,
  "e_above_lowest_polymorph_mev_per_atom": 0,
  "sg": "F-43m (216)"
}


7.
{
  "formula": "DyTeAuO",
  "functional": "PBE",
  "state": "optimized geometry",
  "lattice": [[5.695, 0.000, 0.000], [0.000, 10.316, 0.000], [0.000, 0.000, 5.713]],
  "species": ["Dy", "Dy", "Dy", "Dy", "Te", "Te", "Te", "Te", "Au", "Au", "Au", "Au", "O", "O", "O", "O"],
  "frac_coords": [[0.000, 0.103, 0.250], [0.000, 0.897, 0.750], [0.500, 0.103, 0.750], [0.500, 0.897, 0.250], [0.000, 0.277, 0.750], [0.000, 0.723, 0.250], [0.500, 0.277, 0.250], [0.500, 0.723, 0.750], [0.250, 0.500, 0.233], [0.250, 0.500, 0.733], [0.750, 0.500, 0.267], [0.750, 0.500, 0.767], [0.250, 0.000, 0.000], [0.250, 0.000, 0.500], [0.750, 0.000, 0.000], [0.750, 0.000, 0.500]],
  "vol_a3_per_atom": 21.0,
  "e_above_lowest_polymorph_mev_per_atom": 1,
  "sg": "Pcca (54)"
}


8.
{
  "formula": "BeCuOs2",
  "functional": "PBE",
  "state": "optimized geometry",
  "lattice": [[0.000, 2.938, 2.938], [2.938, 0.000, 2.938], [2.938, 2.938, 0.000]],
  "species": ["Be", "Cu", "Os", "Os"],
  "frac_coords": [[0.000, 0.000, 0.000], [0.250, 0.250, 0.250], [0.500, 0.500, 0.500], [0.750, 0.750, 0.750]],
  "vol_a3_per_atom": 12.7,
  "dft_energy_ev_per_cell": -28.92,
  "sg": "F-43m (216)"
}


9.
{
  "formula": "CdBi2",
  "functional": "PBE",
  "state": "optimized geometry",
  "lattice": [[0.000, 4.621, 4.621], [4.621, 0.000, 4.621], [4.621, 4.621, 0.000]],
  "species": ["Cd", "Cd", "Bi", "Bi", "Bi", "Bi"],
  "frac_coords": [[0.125, 0.125, 0.125], [0.875, 0.875, 0.875], [0.000, 0.500, 0.500], [0.500, 0.000, 0.500], [0.500, 0.500, 0.000], [0.500, 0.500, 0.500]],
  "vol_a3_per_atom": 32.9,
  "e_above_lowest_polymorph_mev_per_atom": 162,
  "sg": "Fd-3m (227)"
}


10.
{
  "formula": "HgAsNO",
  "functional": "PBE",
  "state": "optimized geometry",
  "lattice": [[4.477, 0.000, 0.000], [0.000, 4.477, 0.000], [0.000, 0.000, 5.730]],
  "species": ["Hg", "Hg", "As", "As", "N", "N", "O", "O"],
  "frac_coords": [[0.250, 0.750, 0.000], [0.750, 0.250, 0.000], [0.250, 0.250, 0.465], [0.750, 0.750, 0.535], [0.250, 0.250, 0.143], [0.750, 0.750, 0.857], [0.250, 0.750, 0.500], [0.750, 0.250, 0.500]],
  "vol_a3_per_atom": 14.4,
  "e_above_lowest_polymorph_mev_per_atom": 191,
  "sg": "P4/nmm (129)"
}


11.
{
  "formula": "AlCoNiH6",
  "functional": "PBE",
  "state": "optimized geometry",
  "lattice": [[0.000, 2.959, 2.959], [2.959, 0.000, 2.959], [2.959, 2.959, 0.000]],
  "species": ["Al", "Co", "Ni", "H", "H", "H", "H", "H", "H"],
  "frac_coords": [[0.000, 0.000, 0.000], [0.500, 0.500, 0.500], [0.250, 0.250, 0.250], [0.520, 0.520, 0.980], [0.520, 0.980, 0.520], [0.520, 0.980, 0.980], [0.980, 0.520, 0.520], [0.980, 0.520, 0.980], [0.980, 0.980, 0.520]],
  "vol_a3_per_atom": 5.8,
  "dft_energy_ev_per_cell": -34.25,
  "sg": "F-43m (216)"
}


12.
{
  "formula": "CsSiAgS3",
  "functional": "PBE",
  "state": "optimized geometry",
  "lattice": [[8.909, 0.000, 0.000], [0.000, 3.675, 0.000], [-3.883, 0.000, 8.868]],
  "species": ["Cs", "Cs", "Si", "Si", "Ag", "Ag", "S", "S", "S", "S", "S", "S"],
  "frac_coords": [[0.250, 0.250, 0.219], [0.750, 0.750, 0.781], [0.161, 0.750, 0.636], [0.839, 0.250, 0.364], [0.462, 0.250, 0.891], [0.538, 0.750, 0.109], [0.028, 0.750, 0.380], [0.237, 0.750, 0.889], [0.329, 0.250, 0.615], [0.671, 0.750, 0.385], [0.763, 0.250, 0.111], [0.972, 0.250, 0.620]],
  "vol_a3_per_atom": 24.2,
  "e_above_lowest_polymorph_mev_per_atom": 0,
  "sg": "P2_1/m (11)"
}


13.
{
  "formula": "NpInIr",
  "functional": "PBE",
  "state": "optimized geometry",
  "lattice": [[0.000, 3.307, 3.307], [3.307, 0.000, 3.307], [3.307, 3.307, 0.000]],
  "species": ["Np", "In", "Ir"],
  "frac_coords": [[0.000, 0.000, 0.000], [0.500, 0.500, 0.500], [0.250, 0.250, 0.250]],
  "vol_a3_per_atom": 24.1,
  "dft_energy_ev_per_cell": -24.79,
  "sg": "F-43m (216)"
}


14.
{
  "formula": "NiBiPt",
  "functional": "PBE",
  "state": "optimized geometry",
  "lattice": [[6.608, 0.000, 0.000], [-3.304, 5.723, 0.000], [0.000, 0.000, 4.288]],
  "species": ["Ni", "Ni", "Ni", "Bi", "Bi", "Bi", "Pt", "Pt", "Pt"],
  "frac_coords": [[0.000, 0.233, 0.000], [0.233, 0.000, 0.000], [0.767, 0.767, 0.000], [0.000, 0.000, 0.500], [0.333, 0.667, 0.000], [0.667, 0.333, 0.000], [0.000, 0.550, 0.500], [0.450, 0.450, 0.500], [0.550, 0.000, 0.500]],
  "vol_a3_per_atom": 18.0,
  "e_above_lowest_polymorph_mev_per_atom": 181,
  "sg": "P-62m (189)"
}


15.
{
  "formula": "SrPr2O4",
  "functional": "PBE",
  "state": "optimized geometry",
  "lattice": [[0.000, 5.100, 5.100], [5.100, 0.000, 5.100], [5.100, 5.100, 0.000]],
  "species": ["Sr", "Sr", "Pr", "Pr", "Pr", "Pr", "O", "O", "O", "O", "O", "O", "O", "O"],
  "frac_coords": [[0.125, 0.125, 0.125], [0.875, 0.875, 0.875], [0.000, 0.500, 0.500], [0.500, 0.000, 0.500], [0.500, 0.500, 0.000], [0.500, 0.500, 0.500], [0.264, 0.264, 0.264], [0.264, 0.264, 0.709], [0.264, 0.709, 0.264], [0.291, 0.736, 0.736], [0.709, 0.264, 0.264], [0.736, 0.291, 0.736], [0.736, 0.736, 0.291], [0.736, 0.736, 0.736]],
  "vol_a3_per_atom": 19.0,
  "e_above_lowest_polymorph_mev_per_atom": 0,
  "sg": "Fd-3m (227)"
}


16.
{
  "formula": "NbZn3",
  "functional": "PBE",
  "state": "optimized geometry",
  "lattice": [[2.843, -4.948, 0.000], [2.843, 4.948, 0.000], [0.000, 0.000, 4.434]],
  "species": ["Nb", "Nb", "Zn", "Zn", "Zn", "Zn", "Zn", "Zn"],
  "frac_coords": [[0.081, 0.919, 0.750], [0.919, 0.081, 0.250], [0.087, 0.422, 0.750], [0.405, 0.595, 0.250], [0.422, 0.087, 0.250], [0.578, 0.913, 0.750], [0.595, 0.405, 0.750], [0.913, 0.578, 0.250]],
  "ef_mev_per_atom": 28,
  "vol_a3_per_atom": 15.6,
  "sg": "Cmcm (63)"
}


17.
{
  "formula": "KNbGa",
  "functional": "PBE",
  "state": "optimized geometry",
  "lattice": [[0.000, 3.478, 3.478], [3.478, 0.000, 3.478], [3.478, 3.478, 0.000]],
  "species": ["K", "Nb", "Ga"],
  "frac_coords": [[0.000, 0.000, 0.000], [0.500, 0.500, 0.500], [0.250, 0.250, 0.250]],
  "vol_a3_per_atom": 28.0,
  "e_above_lowest_polymorph_mev_per_atom": 0,
  "sg": "F-43m (216)"
}


18.
{
  "formula": "HfC",
  "functional": "PBE",
  "state": "optimized geometry",
  "lattice": [[3.234, 0.000, 0.000], [-1.617, 2.801, 0.000], [0.000, 0.000, 2.906]],
  "species": ["Hf", "C"],
  "frac_coords": [[0.000, 0.000, 0.000], [0.333, 0.667, 0.500]],
  "vol_a3_per_atom": 13.2,
  "e_above_lowest_polymorph_mev_per_atom": 763,
  "sg": "P-6m2 (187)"
}


19.
{
  "formula": "Cs2CuHgSb2",
  "functional": "PBE",
  "state": "optimized geometry",
  "lattice": [[4.720, 0.000, 0.000], [-2.360, 4.087, 0.000], [0.000, 0.000, 12.090]],
  "species": ["Cs", "Cs", "Cu", "Hg", "Sb", "Sb"],
  "frac_coords": [[0.000, 0.000, 0.238], [0.000, 0.000, 0.762], [0.333, 0.667, 0.000], [0.667, 0.333, 0.500], [0.333, 0.667, 0.500], [0.667, 0.333, 0.000]],
  "vol_a3_per_atom": 38.9,
  "dft_energy_ev_per_cell": -15.36,
  "sg": "P-6m2 (187)"
}


20.
{
  "formula": "LaYZn2Pb2",
  "functional": "PBE",
  "state": "optimized geometry",
  "lattice": [[4.676, 0.000, 0.000], [-2.338, 4.049, 0.000], [0.000, 0.000, 16.454]],
  "species": ["La", "La", "Y", "Y", "Zn", "Zn", "Zn", "Zn", "Pb", "Pb", "Pb", "Pb"],
  "frac_coords": [[0.000, 0.000, 0.250], [0.000, 0.000, 0.750], [0.000, 0.000, 0.000], [0.000, 0.000, 0.500], [0.333, 0.667, 0.158], [0.333, 0.667, 0.342], [0.667, 0.333, 0.658], [0.667, 0.333, 0.842], [0.333, 0.667, 0.607], [0.333, 0.667, 0.893], [0.667, 0.333, 0.107], [0.667, 0.333, 0.393]],
  "vol_a3_per_atom": 26.0,
  "e_above_lowest_polymorph_mev_per_atom": 36,
  "sg": "P6_3/mmc (194)"
}


21.
{
  "formula": "Ac4UN5",
  "functional": "PBE",
  "state": "optimized geometry",
  "lattice": [[-4.200, 4.200, 2.712], [4.200, -4.200, 2.712], [4.200, 4.200, -2.712]],
  "species": ["Ac", "Ac", "Ac", "Ac", "U", "N", "N", "N", "N", "N"],
  "frac_coords": [[0.103, 0.299, 0.402], [0.299, 0.897, 0.196], [0.701, 0.103, 0.804], [0.897, 0.701, 0.598], [0.517, 0.517, 0.000], [0.254, 0.592, 0.836], [0.418, 0.254, 0.662], [0.592, 0.756, 0.338], [0.756, 0.418, 0.164], [0.935, 0.935, 0.000]],
  "vol_a3_per_atom": 19.1,
  "dft_energy_ev_per_cell": -80.88,
  "sg": "I4 (79)"
}


22.
{
  "formula": "LiTc2B2",
  "functional": "PBE",
  "state": "optimized geometry",
  "lattice": [[5.718, 0.000, 0.000], [0.000, 5.718, 0.000], [0.000, 0.000, 3.016]],
  "species": ["Li", "Li", "Tc", "Tc", "Tc", "Tc", "B", "B", "B", "B"],
  "frac_coords": [[0.000, 0.000, 0.000], [0.500, 0.500, 0.000], [0.173, 0.327, 0.500], [0.327, 0.827, 0.500], [0.673, 0.173, 0.500], [0.827, 0.673, 0.500], [0.116, 0.616, 0.000], [0.384, 0.116, 0.000], [0.616, 0.884, 0.000], [0.884, 0.384, 0.000]],
  "vol_a3_per_atom": 9.9,
  "dft_energy_ev_per_cell": -75.71,
  "sg": "P4/mbm (127)"
}


23.
{
  "formula": "Cs2Pd2Se3",
  "functional": "PBE",
  "state": "optimized geometry",
  "lattice": [[-4.930, 4.930, 4.930], [4.930, -4.930, 4.930], [4.930, 4.930, -4.930]],
  "species": ["Cs", "Cs", "Cs", "Cs", "Pd", "Pd", "Pd", "Pd", "Se", "Se", "Se", "Se", "Se", "Se"],
  "frac_coords": [[0.000, 0.297, 0.500], [0.203, 0.203, 0.203], [0.297, 0.500, 0.000], [0.500, 0.000, 0.297], [0.000, 0.711, 0.500], [0.500, 0.000, 0.711], [0.711, 0.500, 0.000], [0.789, 0.789, 0.789], [0.065, 0.750, 0.815], [0.250, 0.685, 0.435], [0.435, 0.250, 0.685], [0.685, 0.435, 0.250], [0.750, 0.815, 0.065], [0.815, 0.065, 0.750]],
  "vol_a3_per_atom": 34.2,
  "e_above_lowest_polymorph_mev_per_atom": 67,
  "sg": "I2_13 (199)"
}


24.
{
  "formula": "CsSrNp",
  "functional": "PBE",
  "state": "optimized geometry",
  "lattice": [[0.000, 4.498, 4.498], [4.498, 0.000, 4.498], [4.498, 4.498, 0.000]],
  "species": ["Cs", "Sr", "Np"],
  "frac_coords": [[0.000, 0.000, 0.000], [0.250, 0.250, 0.250], [0.750, 0.750, 0.750]],
  "vol_a3_per_atom": 60.7,
  "e_above_lowest_polymorph_mev_per_atom": 90,
  "sg": "F-43m (216)"
}